Model a:
SmHo6Tm4: optimized geometry, GGA-PBE.

Cell: 5.600 5.566 25.496 Å, 90.00 90.00 120.20°
Atoms (fractional coordinates):
Tm 0.509 0.017 0.879
Ho 0.159 0.318 0.181
Tm 0.836 0.672 0.542
Ho 0.500 0.000 0.500
Ho 0.493 0.986 0.250
Ho 0.826 0.652 0.398
Tm 0.509 0.017 0.621
Tm 0.164 0.328 0.042
Tm 0.164 0.328 0.458
Sm 0.827 0.653 0.250
Tm 0.491 0.983 0.121
Tm 0.836 0.672 0.958
Ho 0.507 0.014 0.750
Ho 0.174 0.348 0.898
Ho 0.159 0.318 0.319
Ho 0.500 0.000 0.000
Ho 0.826 0.652 0.102
Tm 0.491 0.983 0.379
Sm 0.173 0.347 0.750
Ho 0.841 0.682 0.681
Ho 0.841 0.682 0.819
Ho 0.174 0.348 0.602

Computed properties:
* magnetization: 0.0 μB/cell

Model b:
SmHo6Tm4: optimized geometry, GGA-PBE.

Cell: 6.501 6.501 9.648 Å, 109.69 109.69 90.00°
Atoms (fractional coordinates):
Ho 0.500 0.000 0.000
Ho 0.514 0.514 0.654
Tm 0.312 0.312 0.265
Tm 0.688 0.047 0.735
Tm 0.953 0.953 0.265
Tm 0.047 0.688 0.735
Ho 0.141 0.141 0.654
Ho 0.486 0.859 0.346
Ho 0.000 0.500 0.000
Sm 0.500 0.500 0.000
Ho 0.859 0.486 0.346

Computed properties:
* magnetization: 0.0 μB/cell

Relative energies, eV/atom: model a 0.000; model b 0.196.

Model a:
Sm7HoTm3: optimized geometry, GGA-PBE.

Cell: 8.986 9.939 5.590 Å, 90.02 128.48 105.89°
Atoms (fractional coordinates):
Sm 0.821 0.640 0.321
Tm 0.000 0.500 0.000
Tm 0.221 0.001 0.721
Sm 0.354 0.708 0.853
Sm 0.083 0.170 0.083
Sm 0.179 0.360 0.679
Ho 0.500 0.500 0.500
Sm 0.500 0.000 0.500
Sm 0.646 0.292 0.147
Sm 0.917 0.830 0.917
Tm 0.779 0.999 0.279

Computed properties:
* magnetization: 0.0 μB/cell

Model b:
Sm7HoTm3: optimized geometry, GGA-PBE.

Cell: 5.832 8.478 8.478 Å, 83.21 110.18 110.18°
Atoms (fractional coordinates):
Sm 0.000 0.500 0.500
Tm 0.000 0.205 0.795
Sm 0.210 0.208 0.208
Sm 0.307 0.018 0.597
Tm 0.500 0.000 0.000
Sm 0.693 0.403 0.982
Sm 0.307 0.597 0.018
Tm 0.000 0.795 0.205
Sm 0.693 0.982 0.403
Ho 0.500 0.500 0.500
Sm 0.790 0.792 0.792

Computed properties:
* magnetization: 0.0 μB/cell

Relative energies, eV/atom: model a 0.000; model b 0.118.

Model a:
Sm4HoTm: optimized geometry, GGA-PBE.

Cell: 3.587 9.485 11.910 Å, 148.72 90.20 100.80°
Atoms (fractional coordinates):
Ho 0.000 0.000 0.000
Tm 0.500 0.000 0.500
Sm 0.166 0.333 0.501
Sm 0.834 0.667 0.499
Sm 0.333 0.664 0.998
Sm 0.667 0.336 0.002

Computed properties:
* magnetization: 0.0 μB/cell

Model b:
Sm4HoTm: optimized geometry, GGA-PBE.

Cell: 3.451 8.213 8.213 Å, 89.99 90.00 90.00°
Atoms (fractional coordinates):
Ho 0.000 0.500 0.500
Sm 0.000 0.762 0.762
Tm 0.500 0.000 0.000
Sm 0.500 0.260 0.740
Sm 0.500 0.740 0.260
Sm 0.000 0.238 0.238

Computed properties:
* magnetization: 0.0 μB/cell

Relative energies, eV/atom: model a 0.000; model b 0.631.

Model a:
Sm4HoTm6: optimized geometry, GGA-PBE.

Cell: 7.629 7.629 8.444 Å, 116.85 116.85 90.00°
Atoms (fractional coordinates):
Ho 0.500 0.500 0.000
Tm 0.000 0.500 0.000
Sm 0.098 0.750 0.847
Tm 0.438 0.926 0.364
Sm 0.750 0.098 0.847
Sm 0.902 0.902 0.153
Sm 0.250 0.250 0.153
Tm 0.562 0.562 0.636
Tm 0.074 0.074 0.636
Tm 0.926 0.438 0.364
Tm 0.500 0.000 0.000

Computed properties:
* magnetization: 0.0 μB/cell

Model b:
Sm4HoTm6: optimized geometry, GGA-PBE.

Cell: 9.636 9.636 9.636 Å, 57.70 140.10 140.10°
Atoms (fractional coordinates):
Tm 0.643 0.195 0.195
Sm 0.377 0.363 0.363
Tm 0.357 0.552 0.552
Sm 0.000 0.014 0.637
Sm 0.623 0.986 0.986
Ho 0.000 0.000 0.000
Tm 0.500 0.500 0.000
Tm 0.000 0.805 0.448
Tm 0.500 0.000 0.500
Tm 0.000 0.448 0.805
Sm 0.000 0.637 0.014

Computed properties:
* magnetization: 0.0 μB/cell

Relative energies, eV/atom: model a 0.169; model b 0.000.

Model a:
Sm2Ho3Tm: optimized geometry, GGA-PBE.

Cell: 5.620 8.940 9.657 Å, 122.62 90.00 108.32°
Atoms (fractional coordinates):
Sm 0.251 0.501 0.927
Ho 0.999 0.998 0.331
Ho 0.250 0.500 0.590
Tm 0.125 0.250 0.132
Ho 0.376 0.751 0.382
Ho 0.001 0.002 0.669
Ho 0.750 0.500 0.410
Sm 0.749 0.499 0.073
Sm 0.499 0.998 0.164
Ho 0.624 0.249 0.618
Tm 0.875 0.750 0.868
Sm 0.501 0.002 0.836

Computed properties:
* magnetization: 0.0 μB/cell

Model b:
Sm2Ho3Tm: optimized geometry, GGA-PBE.

Cell: 5.957 12.197 12.197 Å, 46.84 42.94 42.94°
Atoms (fractional coordinates):
Ho 0.750 0.609 0.391
Ho 0.938 0.854 0.685
Ho 0.438 0.685 0.854
Ho 0.250 0.391 0.609
Sm 0.650 0.583 0.151
Tm 0.000 0.000 0.000
Ho 0.562 0.315 0.146
Sm 0.850 0.849 0.417
Sm 0.350 0.417 0.849
Tm 0.500 0.000 0.000
Ho 0.062 0.146 0.315
Sm 0.150 0.151 0.583

Computed properties:
* magnetization: 0.0 μB/cell

Relative energies, eV/atom: model a 0.000; model b 0.099.

Model a:
Sm7Ho12Tm: optimized geometry, GGA-PBE.

Cell: 9.730 9.730 9.730 Å, 109.47 109.47 109.47°
Atoms (fractional coordinates):
Sm 0.000 0.500 0.000
Ho 0.508 0.754 0.754
Sm 0.500 0.500 0.000
Ho 0.754 0.508 0.754
Sm 0.500 0.500 0.500
Tm 0.000 0.000 0.000
Ho 0.000 0.246 0.754
Sm 0.500 0.000 0.000
Ho 0.754 0.000 0.246
Ho 0.754 0.246 0.000
Sm 0.000 0.500 0.500
Ho 0.246 0.754 0.000
Ho 0.246 0.000 0.754
Sm 0.500 0.000 0.500
Ho 0.492 0.246 0.246
Sm 0.000 0.000 0.500
Ho 0.246 0.492 0.246
Ho 0.754 0.754 0.508
Ho 0.000 0.754 0.246
Ho 0.246 0.246 0.492

Computed properties:
* magnetization: 0.0 μB/cell

Model b:
Sm7Ho12Tm: optimized geometry, GGA-PBE.

Cell: 8.737 8.737 8.737 Å, 85.99 85.99 85.99°
Atoms (fractional coordinates):
Tm 0.000 0.000 0.000
Sm 0.500 0.500 0.500
Ho 0.497 0.617 0.134
Ho 0.271 0.147 0.747
Ho 0.747 0.271 0.147
Ho 0.853 0.253 0.729
Sm 0.077 0.154 0.399
Sm 0.846 0.601 0.923
Ho 0.729 0.853 0.253
Ho 0.617 0.134 0.497
Sm 0.154 0.399 0.077
Ho 0.503 0.383 0.866
Sm 0.923 0.846 0.601
Ho 0.383 0.866 0.503
Sm 0.601 0.923 0.846
Ho 0.134 0.497 0.617
Ho 0.147 0.747 0.271
Sm 0.399 0.077 0.154
Ho 0.253 0.729 0.853
Ho 0.866 0.503 0.383

Computed properties:
* magnetization: 0.0 μB/cell

Relative energies, eV/atom: model a 0.439; model b 0.000.

Model a:
Sm12Ho5Tm2: optimized geometry, GGA-PBE.

Cell: 11.642 10.621 6.185 Å, 100.56 90.00 123.23°
Atoms (fractional coordinates):
Sm 0.854 0.207 0.618
Sm 0.119 0.237 0.003
Sm 0.444 0.888 0.726
Sm 0.146 0.793 0.382
Ho 0.322 0.645 0.139
Sm 0.941 0.394 0.199
Sm 0.547 0.606 0.801
Ho 0.000 0.000 0.500
Ho 0.678 0.355 0.861
Sm 0.453 0.394 0.199
Sm 0.648 0.793 0.382
Ho 0.216 0.432 0.556
Sm 0.059 0.606 0.801
Tm 0.768 0.000 0.000
Sm 0.556 0.112 0.274
Tm 0.232 0.000 0.000
Sm 0.881 0.763 0.997
Sm 0.352 0.207 0.618
Ho 0.784 0.568 0.444

Computed properties:
* magnetization: 0.0 μB/cell

Model b:
Sm12Ho5Tm2: optimized geometry, GGA-PBE.

Cell: 9.363 9.339 8.342 Å, 89.71 90.00 120.09°
Atoms (fractional coordinates):
Sm 0.449 0.899 0.710
Ho 0.646 0.292 0.940
Sm 0.027 0.634 0.781
Sm 0.551 0.101 0.290
Ho 0.250 0.500 0.535
Sm 0.388 0.216 0.622
Ho 0.354 0.708 0.060
Ho 0.000 0.000 0.500
Tm 0.219 0.000 0.000
Sm 0.161 0.323 0.871
Sm 0.973 0.366 0.219
Ho 0.750 0.500 0.465
Tm 0.781 0.000 0.000
Sm 0.839 0.677 0.129
Sm 0.394 0.366 0.219
Sm 0.828 0.216 0.622
Sm 0.612 0.784 0.378
Sm 0.172 0.784 0.378
Sm 0.606 0.634 0.781

Computed properties:
* magnetization: 0.0 μB/cell

Relative energies, eV/atom: model a 0.000; model b 0.037.

Model a:
SmHo7Tm12: optimized geometry, GGA-PBE.

Cell: 9.647 9.647 9.647 Å, 109.47 109.47 109.47°
Atoms (fractional coordinates):
Ho 0.000 0.000 0.500
Tm 0.255 0.745 0.000
Ho 0.500 0.500 0.500
Sm 0.000 0.000 0.000
Tm 0.745 0.255 0.000
Tm 0.255 0.255 0.509
Tm 0.000 0.255 0.745
Ho 0.500 0.000 0.500
Ho 0.500 0.500 0.000
Tm 0.745 0.745 0.491
Tm 0.745 0.000 0.255
Tm 0.745 0.491 0.745
Ho 0.000 0.500 0.500
Tm 0.255 0.000 0.745
Tm 0.491 0.745 0.745
Tm 0.255 0.509 0.255
Ho 0.000 0.500 0.000
Tm 0.509 0.255 0.255
Ho 0.500 0.000 0.000
Tm 0.000 0.745 0.255

Computed properties:
* magnetization: 0.0 μB/cell

Model b:
SmHo7Tm12: optimized geometry, GGA-PBE.

Cell: 8.577 8.577 8.577 Å, 95.23 95.23 95.23°
Atoms (fractional coordinates):
Ho 0.017 0.082 0.352
Ho 0.082 0.352 0.017
Tm 0.853 0.585 0.522
Tm 0.318 0.190 0.749
Tm 0.415 0.478 0.147
Tm 0.478 0.147 0.415
Tm 0.810 0.251 0.682
Tm 0.251 0.682 0.810
Tm 0.585 0.522 0.853
Tm 0.749 0.318 0.190
Ho 0.648 0.983 0.918
Tm 0.522 0.853 0.585
Tm 0.147 0.415 0.478
Ho 0.500 0.500 0.500
Tm 0.190 0.749 0.318
Ho 0.918 0.648 0.983
Tm 0.682 0.810 0.251
Ho 0.983 0.918 0.648
Ho 0.352 0.017 0.082
Sm 0.000 0.000 0.000

Computed properties:
* magnetization: 0.0 μB/cell

Relative energies, eV/atom: model a 0.426; model b 0.000.

Model a:
Sm2HoTm5: optimized geometry, GGA-PBE.

Cell: 4.980 7.053 14.107 Å, 90.00 90.00 90.00°
Atoms (fractional coordinates):
Ho 0.000 0.000 0.500
Ho 0.000 0.500 0.000
Tm 0.000 0.500 0.250
Tm 0.500 0.750 0.125
Tm 0.500 0.250 0.875
Tm 0.500 0.750 0.625
Tm 0.500 0.250 0.375
Sm 0.500 0.250 0.625
Tm 0.000 0.500 0.500
Tm 0.000 0.500 0.750
Tm 0.000 0.000 0.750
Sm 0.500 0.750 0.375
Tm 0.000 0.000 0.000
Tm 0.000 0.000 0.250
Sm 0.500 0.250 0.125
Sm 0.500 0.750 0.875

Computed properties:
* magnetization: 0.0 μB/cell

Model b:
Sm2HoTm5: optimized geometry, GGA-PBE.

Cell: 9.751 6.474 10.678 Å, 119.18 117.17 90.00°
Atoms (fractional coordinates):
Tm 0.110 0.370 0.395
Sm 0.823 0.539 0.158
Sm 0.177 0.461 0.842
Ho 0.000 0.000 0.500
Tm 0.943 0.750 0.000
Tm 0.491 0.445 0.799
Tm 0.693 0.055 0.201
Sm 0.665 0.961 0.842
Sm 0.335 0.039 0.158
Ho 0.500 0.500 0.500
Tm 0.307 0.945 0.799
Tm 0.057 0.250 0.000
Tm 0.284 0.870 0.395
Tm 0.890 0.630 0.605
Tm 0.716 0.130 0.605
Tm 0.509 0.555 0.201

Computed properties:
* magnetization: 0.0 μB/cell

Relative energies, eV/atom: model a 0.000; model b 0.148.